Here is an optimized crystal structure of DyAl2Fe2C from the Alexandria database. Energies are from PBE-GGA.

Unit cell a=3.8592 b=3.8592 c=5.5521 alpha=90.00 beta=90.00 gamma=90.00
Positions (direct):
Al  0.5000  0.5000  0.2654
Fe  0.0000  0.5000  0.0000
Dy  0.0000  0.0000  0.5000
Fe  0.5000  0.0000  0.0000
C  0.0000  0.0000  0.0000
Al  0.5000  0.5000  0.7346

For the energy of formation from the pure elements, the calculation gives -0.3226 eV per atom. The value obtained for the density of states at the Fermi level is 2.7 states/eV/cell. The value obtained for the total magnetization is 0.0 μB per formula unit. As for the space group: P4/mmm.